Here is crystalline Tb3DyAs4 at its relaxed geometry from Alexandria via LeMat-Bulk. Energies are from PBE.

Cell lengths 5.842, 5.842, 5.842 Å; angles 90.00, 90.00, 90.00 degrees
Positions (direct):
Tb (0.000, 0.000, 0.500)
Tb (0.000, 0.500, 0.000)
Tb (0.500, 0.000, 0.000)
Dy (0.500, 0.500, 0.500)
As (0.000, 0.000, 0.000)
As (0.000, 0.500, 0.500)
As (0.500, 0.000, 0.500)
As (0.500, 0.500, 0.000)

Calculated values
* total energy: -49.45 eV per cell
* SG: Pm-3m, No. 221
* N(E_F): 0.0915 states/eV/atom
* energy of formation from the pure elements: -1544 meV per atom
* polymorph energy (0 for the lowest one): 0.0 kJ per mole of atoms